[1]
PBE-GGA Rb2RePtCl6, relaxed; Fermi-level density of states = 0.00 states/eV/f.u.; SG = No. 139; raw total energy = -3.964 eV/atom
1.0
7.942 0.000 0.000
0.000 7.942 0.000
3.971 3.971 4.547
Cl Rb Pt Re
6 2 1 1
Direct
0.714 0.286 0.000
0.244 0.244 0.511
0.286 0.714 0.000
0.756 0.756 0.489
0.286 0.286 0.000
0.714 0.714 0.000
0.250 0.750 0.500
0.750 0.250 0.500
0.000 0.000 0.000
0.500 0.500 0.000

=====

[2]
PBE-GGA RbPtS2Cl, relaxed; Fermi-level density of states = 7.65 states/eV/f.u.; SG = No. 123; polymorph energy (0 for the lowest one) = 1892.4 meV per atom
1.0
-0.616 -5.482 0.347
3.334 -0.096 4.407
-4.481 0.720 3.405
S Rb Cl Pt
2 1 1 1
Direct
0.000 0.500 0.000
0.500 0.000 0.000
0.000 0.000 0.000
0.000 0.000 0.500
0.500 0.500 0.500

=====

[3]
PBE-GGA Rb2PtSCl6, relaxed; Fermi-level density of states = 2.98 states/eV/f.u.; SG = No. 139; raw total energy = -3.188 eV/atom
1.0
-2.435 4.448 5.666
5.424 -2.804 4.532
4.527 4.336 3.644
Cl Rb Pt S
6 2 1 1
Direct
0.221 0.779 0.000
0.779 0.221 0.000
0.779 0.779 0.000
0.259 0.259 0.483
0.741 0.741 0.517
0.221 0.221 0.000
0.250 0.750 0.500
0.750 0.250 0.500
0.000 0.000 0.000
0.500 0.500 0.000

=====

[4]
PBE-GGA RbPtS2Cl, relaxed; Fermi-level density of states = 4.29 states/eV/f.u.; SG = No. 123; polymorph energy (0 for the lowest one) = 0.0 meV per atom
1.0
-3.479 1.620 2.803
-2.484 -3.974 -0.787
2.377 -2.337 4.301
Rb S Pt Cl
1 2 1 1
Direct
0.500 0.500 0.500
0.500 0.000 0.000
0.000 0.500 0.000
0.000 0.000 0.000
0.000 0.000 0.500

=====

[5]
PBE-GGA RbScPtCl6, relaxed; SG = No. 1; raw total energy = -4.183 eV/atom
1.0
6.437 0.433 -0.205
3.616 6.228 -0.442
-0.279 -0.462 7.440
Cl Sc Pt Rb
6 1 1 1
Direct
0.606 0.332 0.753
0.355 0.634 0.344
0.608 0.061 0.247
0.354 0.011 0.655
0.979 0.367 0.323
0.978 0.655 0.677
0.369 0.316 0.500
0.659 0.670 0.500
0.092 0.954 0.000

=====

[6]
PBE-GGA Rb2SiPtCl6, relaxed; Fermi-level density of states = 0.01 states/eV/f.u.; SG = No. 139; raw total energy = -3.449 eV/atom
1.0
7.460 0.000 0.000
0.000 7.460 0.000
3.730 3.730 4.547
Cl Pt Si Rb
6 1 1 2
Direct
0.280 0.720 0.000
0.720 0.720 0.000
0.749 0.749 0.501
0.280 0.280 0.000
0.720 0.280 0.000
0.251 0.251 0.499
0.000 0.000 0.000
0.500 0.500 0.000
0.250 0.750 0.500
0.750 0.250 0.500

=====

[7]
PBE-GGA Rb2SnPtCl, relaxed; Fermi-level density of states = 2.87 states/eV/f.u.; SG = No. 123; raw total energy = -3.179 eV/atom
1.0
-2.059 -5.224 -4.171
3.829 0.855 -2.961
3.872 -4.490 3.712
Pt Rb Cl Sn
1 2 1 1
Direct
0.000 0.500 0.000
0.000 0.000 0.500
0.500 0.000 0.000
0.500 0.500 0.500
0.000 0.000 0.000

=====

[8]
PBE-GGA Rb2TaPtCl6, relaxed; Fermi-level density of states = 5.85 states/eV/f.u.; SG = No. 139; raw total energy = -4.206 eV/atom
1.0
8.166 0.000 0.000
0.000 8.166 0.000
4.083 4.083 4.630
Rb Cl Pt Ta
2 6 1 1
Direct
0.250 0.750 0.500
0.750 0.250 0.500
0.288 0.712 0.000
0.712 0.288 0.000
0.712 0.712 0.000
0.288 0.288 0.000
0.759 0.759 0.483
0.241 0.241 0.517
0.000 0.000 0.000
0.500 0.500 0.000

=====

[9]
PBE-GGA RbTePt2Cl, relaxed; Fermi-level density of states = 5.16 states/eV/f.u.; SG = No. 123; raw total energy = -3.782 eV/atom
1.0
-4.398 -2.300 -0.650
2.512 -3.665 -4.028
1.148 -3.227 3.651
Cl Pt Rb Te
1 2 1 1
Direct
0.000 0.500 0.000
0.500 0.000 0.000
0.000 0.000 0.500
0.500 0.500 0.500
0.000 0.000 0.000

=====

[10]
PBE-GGA Rb2TiPtCl6, relaxed; Fermi-level density of states = 0.00 states/eV/f.u.; SG = No. 139; raw total energy = -4.011 eV/atom
1.0
7.995 0.000 0.000
0.000 7.995 0.000
3.997 3.997 4.547
Pt Cl Rb Ti
1 6 2 1
Direct
0.000 0.000 0.000
0.713 0.287 0.000
0.713 0.713 0.000
0.755 0.755 0.489
0.287 0.287 0.000
0.245 0.245 0.511
0.287 0.713 0.000
0.250 0.750 0.500
0.750 0.250 0.500
0.500 0.500 0.000

=====

[11]
PBE-GGA Rb2TlPtCl6, relaxed; Fermi-level density of states = 4.08 states/eV/f.u.; SG = No. 225; raw total energy = -3.281 eV/atom
1.0
7.589 0.000 0.000
0.000 7.589 0.000
3.794 3.794 5.371
Cl Tl Pt Rb
6 1 1 2
Direct
0.273 0.727 0.000
0.727 0.273 0.000
0.273 0.273 0.000
0.726 0.726 0.547
0.727 0.727 0.000
0.274 0.274 0.453
0.000 0.000 0.000
0.500 0.500 0.000
0.250 0.750 0.500
0.750 0.250 0.500

=====

[12]
PBE-GGA RbTl2PtCl8, relaxed; Fermi-level density of states = 6.95 states/eV/f.u.; SG = No. 164; raw total energy = -3.046 eV/atom
1.0
6.902 0.000 0.000
-3.451 5.978 0.000
0.000 0.000 8.746
Pt Rb Cl Tl
1 1 8 2
Direct
0.000 0.000 0.000
0.000 0.000 0.500
0.333 0.667 0.525
0.841 0.159 0.843
0.318 0.159 0.843
0.159 0.318 0.157
0.682 0.841 0.157
0.841 0.682 0.843
0.667 0.333 0.475
0.159 0.841 0.157
0.667 0.333 0.169
0.333 0.667 0.831